# GGA+U Co2TeO, relaxed
# Crystal system = tetragonal
# Space-group type = I-42d, No. 122
# ΔE to the lowest computed polymorph = 0.0 meV/atom
# Total magnetization = 11.59 μB per cell
data_Co2TeO
_cell_length_a 5.093
_cell_length_b 5.093
_cell_length_c 6.695
_cell_angle_alpha 67.64
_cell_angle_beta 67.64
_cell_angle_gamma 90.00
_space_group_name_H-M_alt 'P 1'
_space_group_IT_number 1
loop_
_space_group_symop_operation_xyz
'x,y,z'
loop_
_atom_site_label
_atom_site_type_symbol
_atom_site_fract_x
_atom_site_fract_y
_atom_site_fract_z
Co1 Co 0.487 0.125 0.250
Co2 Co 0.263 0.625 0.250
Co3 Co 0.875 0.737 0.750
Co4 Co 0.375 0.513 0.750
O1 O 0.500 0.500 0.000
Te1 Te 0.750 0.250 0.500
O2 O 0.250 0.750 0.500
Te2 Te 0.000 0.000 0.000